This record from Alexandria describes a relaxed structure of Ho3CdTc. The functional is PBE-GGA.

Calculated values
For the total magnetic moment, the calculation gives 0.0 μB per cell. The density of states at the Fermi level comes out at 1.077 states/eV per atom. The total energy comes out at -0.3759 Ry per atom. The value obtained for the density is 8.94 g cm⁻³. The formation energy is -111 meV/atom.

a b c (Å): 8.614 8.614 10.901
angles (deg): 124.66 124.66 23.46
Positions (direct):
Ho 0.076 0.076 0.445
Ho 0.318 0.318 0.203
Ho 0.377 0.377 0.799
Ho 0.623 0.623 0.201
Ho 0.682 0.682 0.797
Ho 0.924 0.924 0.555
Cd 0.080 0.080 0.915
Cd 0.920 0.920 0.085
Tc 0.265 0.265 0.426
Tc 0.735 0.735 0.574